The following is a PBE calculation of a relaxed structure of BaNa2Br2, from the Alexandria database.

Values from the calculation:
- distance to the lowest polymorph of the same formula (meV/atom) = 0.0
- calculated total energy (eV/atom) = -2.6791
- energy relative to the elements, uncorrected (meV per atom) = -1098

Unit cell a=8.6136 b=8.6136 c=6.0935 alpha=90.00 beta=90.00 gamma=90.00
Space group P4/mbm (No. 127)
Inequivalent atoms, fractional coordinates:
Ba1 0.0000 0.0000 0.0000 x2
Na1 0.1989 0.3011 0.5000 x4
Br1 0.1661 0.3339 0.0000 x4

***

The following is a PBE calculation of a relaxed structure of BaNaBr2, from the Alexandria database.

Values from the calculation:
- distance to the lowest polymorph of the same formula (meV/atom) = 0.0
- calculated total energy (eV/atom) = -3.1801
- energy relative to the elements, uncorrected (meV per atom) = -1533

Unit cell a=4.3539 b=4.3539 c=24.7407 alpha=90.00 beta=90.00 gamma=120.00
Space group R3m (No. 160, hexagonal axes)
Inequivalent atoms, fractional coordinates:
Ba1 0.0000 0.0000 0.0000 x3
Na1 0.0000 0.0000 0.8308 x3
Br1 0.0000 0.0000 0.2366 x3
Br2 0.0000 0.0000 0.4295 x3

***

The following is a PBE calculation of a relaxed structure of Ba2NaBr, from the Alexandria database.

Values from the calculation:
- distance to the lowest polymorph of the same formula (meV/atom) = 0.0
- calculated total energy (eV/atom) = -2.4227
- energy relative to the elements, uncorrected (meV per atom) = -713

Unit cell a=4.4716 b=4.4716 c=32.7605 alpha=90.00 beta=90.00 gamma=120.00
Space group R-3m (No. 166, hexagonal axes)
Inequivalent atoms, fractional coordinates:
Ba1 0.0000 0.0000 0.2375 x6
Na1 0.0000 0.0000 0.0000 x3
Br1 0.0000 0.0000 0.5000 x3

***

The following is a PBE calculation of a relaxed structure of Ba5Na3Br12, from the Alexandria database.

Values from the calculation:
- calculated total energy (eV/atom) = -3.4476
- energy relative to the elements, uncorrected (meV per atom) = -1765

Unit cell a=19.2614 b=19.2614 c=19.2614 alpha=90.00 beta=90.00 gamma=90.00
Space group Ia-3d (No. 230)
Inequivalent atoms, fractional coordinates:
Ba1 0.0000 0.0000 0.0000 x16
Ba2 0.0000 0.2500 0.3750 x24
Na1 0.0000 0.2500 0.1250 x24
Br1 0.0265 0.0773 0.6481 x96

***

The following is a PBE calculation of a relaxed structure of BaNaBr, from the Alexandria database.

Values from the calculation:
- distance to the lowest polymorph of the same formula (meV/atom) = 74.9
- calculated total energy (eV/atom) = -2.5755
- energy relative to the elements, uncorrected (meV per atom) = -937

Unit cell a=4.4189 b=4.4189 c=7.6327 alpha=90.00 beta=90.00 gamma=120.00
Space group P3m1 (No. 156)
Inequivalent atoms, fractional coordinates:
Ba1 0.0000 0.0000 0.0000 x1
Na1 0.3333 0.6667 0.5595 x1
Br1 0.6667 0.3333 0.2973 x1

***

The following is a PBE calculation of a relaxed structure of Ba2NaBr, from the Alexandria database.

Values from the calculation:
- distance to the lowest polymorph of the same formula (meV/atom) = 95.7
- calculated total energy (eV/atom) = -2.3270
- energy relative to the elements, uncorrected (meV per atom) = -618

Unit cell a=9.7184 b=9.7184 c=9.0259 alpha=90.00 beta=90.00 gamma=90.00
Space group I-42d (No. 122)
Inequivalent atoms, fractional coordinates:
Ba1 0.1957 0.7500 0.1250 x8
Na1 0.0000 0.0000 0.5000 x4
Br1 0.0000 0.0000 0.0000 x4